RbCrNF2: optimized geometry, PBE+U.

Results
The value obtained for the size of the total moment is 2.0 Bohr magnetons per cell. For the volume, the calculation gives 73.88 Å³/f.u. As for the distance to the lowest polymorph of the same formula: 0.0000 eV per atom.

The structure in POSCAR format:
```
RbCrNF2
1.0
-3.470 -0.306 2.688
2.354 -2.497 2.754
1.157 3.131 1.850
Cr N Rb F
1 1 1 2
Direct
0.000 0.000 0.000
0.000 0.000 0.500
0.500 0.500 0.500
0.000 0.500 0.000
0.500 0.000 0.000
```